# LiMg2 PBE-GGA optimized geometry
data_LiMg2
_chemical_formula_sum 'Li1 Mg2'
_cell_length_a 4.725
_cell_length_b 4.725
_cell_length_c 4.725
_cell_angle_alpha 60.00
_cell_angle_beta 60.00
_cell_angle_gamma 60.00
_symmetry_space_group_name_H-M 'P 1'
_symmetry_Int_Tables_number 1
_symmetry_space_group_name_Hall 'P 1'
loop_
_atom_site_label
_atom_site_type_symbol
_atom_site_fract_x
_atom_site_fract_y
_atom_site_fract_z
_atom_site_occupancy
Mg1 Mg 0.750 0.750 0.750 1
Mg2 Mg 0.250 0.250 0.250 1
Li1 Li 0.000 0.000 0.000 1
# N(E_F) ... 2.19 states/eV per cell
# Total magnetic moment ... 0.00 μB per cell
# ρ ... 1.2 Mg/m³
# Space group ... No. 225
# Formation energy from the elements ... 227 meV per atom

---

# LiMg2 PBE-GGA optimized geometry
data_LiMg2
_chemical_formula_sum 'Li2 Mg4'
_cell_length_a 3.157
_cell_length_b 3.157
_cell_length_c 15.053
_cell_angle_alpha 90.00
_cell_angle_beta 90.00
_cell_angle_gamma 120.00
_symmetry_space_group_name_H-M 'P 1'
_symmetry_Int_Tables_number 1
_symmetry_space_group_name_Hall 'P 1'
loop_
_atom_site_label
_atom_site_type_symbol
_atom_site_fract_x
_atom_site_fract_y
_atom_site_fract_z
_atom_site_occupancy
Li1 Li 0.667 0.333 0.750 1
Li2 Li 0.333 0.667 0.250 1
Mg1 Mg 0.333 0.667 0.912 1
Mg2 Mg 0.333 0.667 0.588 1
Mg3 Mg 0.667 0.333 0.088 1
Mg4 Mg 0.667 0.333 0.412 1
# N(E_F) ... 1.45 states/eV per cell
# Total magnetic moment ... 0.00 μB per cell
# ρ ... 1.4 Mg/m³
# Space group ... No. 194
# Formation energy from the elements ... -38 meV per atom

---

# LiMg5 PBE-GGA optimized geometry
data_LiMg5
_chemical_formula_sum 'Li1 Mg5'
_cell_length_a 5.872
_cell_length_b 5.872
_cell_length_c 5.872
_cell_angle_alpha 60.00
_cell_angle_beta 60.00
_cell_angle_gamma 60.00
_symmetry_space_group_name_H-M 'P 1'
_symmetry_Int_Tables_number 1
_symmetry_space_group_name_Hall 'P 1'
loop_
_atom_site_label
_atom_site_type_symbol
_atom_site_fract_x
_atom_site_fract_y
_atom_site_fract_z
_atom_site_occupancy
Mg1 Mg 0.375 0.375 0.874 1
Mg2 Mg 0.375 0.375 0.375 1
Mg3 Mg 0.874 0.375 0.375 1
Mg4 Mg 0.750 0.750 0.750 1
Mg5 Mg 0.375 0.874 0.375 1
Li1 Li 0.000 0.000 0.000 1
# N(E_F) ... 2.04 states/eV per cell
# Total magnetic moment ... 0.00 μB per cell
# ρ ... 1.5 Mg/m³
# Space group ... No. 216
# Formation energy from the elements ... 65 meV per atom

---

# Li3Mg5 PBE-GGA optimized geometry
data_Li3Mg5
_chemical_formula_sum 'Li6 Mg10'
_cell_length_a 8.259
_cell_length_b 8.259
_cell_length_c 8.308
_cell_angle_alpha 96.45
_cell_angle_beta 96.45
_cell_angle_gamma 140.98
_symmetry_space_group_name_H-M 'P 1'
_symmetry_Int_Tables_number 1
_symmetry_space_group_name_Hall 'P 1'
loop_
_atom_site_label
_atom_site_type_symbol
_atom_site_fract_x
_atom_site_fract_y
_atom_site_fract_z
_atom_site_occupancy
Mg1 Mg 0.725 0.425 0.150 1
Mg2 Mg 0.425 0.275 0.700 1
Mg3 Mg 0.276 0.576 0.851 1
Mg4 Mg 0.925 0.225 0.150 1
Mg5 Mg 0.226 0.076 0.301 1
Mg6 Mg 0.076 0.776 0.851 1
Mg7 Mg 0.576 0.726 0.301 1
Mg8 Mg 0.775 0.925 0.700 1
Mg9 Mg 0.251 0.751 0.500 1
Mg10 Mg 0.750 0.250 0.501 1
Li1 Li 0.329 0.829 0.157 1
Li2 Li 0.671 0.171 0.844 1
Li3 Li 0.172 0.329 0.501 1
Li4 Li 0.250 0.250 0.000 1
Li5 Li 0.829 0.672 0.501 1
Li6 Li 0.750 0.750 0.000 1
# N(E_F) ... 4.07 states/eV per cell
# Total magnetic moment ... 0.00 μB per cell
# ρ ... 1.4 Mg/m³
# Space group ... No. 12
# Formation energy from the elements ... -16 meV per atom

---

# LiMg2 PBE-GGA optimized geometry
data_LiMg2
_chemical_formula_sum 'Li2 Mg4'
_cell_length_a 5.563
_cell_length_b 5.563
_cell_length_c 5.563
_cell_angle_alpha 103.92
_cell_angle_beta 103.92
_cell_angle_gamma 121.25
_symmetry_space_group_name_H-M 'P 1'
_symmetry_Int_Tables_number 1
_symmetry_space_group_name_Hall 'P 1'
loop_
_atom_site_label
_atom_site_type_symbol
_atom_site_fract_x
_atom_site_fract_y
_atom_site_fract_z
_atom_site_occupancy
Mg1 Mg 0.841 0.659 0.500 1
Mg2 Mg 0.659 0.159 0.818 1
Mg3 Mg 0.341 0.841 0.182 1
Mg4 Mg 0.159 0.341 0.500 1
Li1 Li 0.750 0.750 0.000 1
Li2 Li 0.250 0.250 0.000 1
# N(E_F) ... 2.46 states/eV per cell
# Total magnetic moment ... 0.00 μB per cell
# ρ ... 1.4 Mg/m³
# Space group ... No. 140
# Formation energy from the elements ... 37 meV per atom

---

# LiMg5 PBE-GGA optimized geometry
data_LiMg5
_chemical_formula_sum 'Li1 Mg5'
_cell_length_a 3.409
_cell_length_b 3.409
_cell_length_c 11.298
_cell_angle_alpha 90.00
_cell_angle_beta 90.00
_cell_angle_gamma 90.00
_symmetry_space_group_name_H-M 'P 1'
_symmetry_Int_Tables_number 1
_symmetry_space_group_name_Hall 'P 1'
loop_
_atom_site_label
_atom_site_type_symbol
_atom_site_fract_x
_atom_site_fract_y
_atom_site_fract_z
_atom_site_occupancy
Li1 Li 0.500 0.500 0.833 1
Mg1 Mg 0.500 0.500 0.156 1
Mg2 Mg 0.000 0.000 0.982 1
Mg3 Mg 0.500 0.500 0.511 1
Mg4 Mg 0.000 0.000 0.685 1
Mg5 Mg 0.000 0.000 0.333 1
# N(E_F) ... 0.95 states/eV per cell
# Total magnetic moment ... 0.00 μB per cell
# ρ ... 1.6 Mg/m³
# Space group ... No. 123
# Formation energy from the elements ... -25 meV per atom

---

# Li7Mg5 PBE-GGA optimized geometry
data_Li7Mg5
_chemical_formula_sum 'Li7 Mg5'
_cell_length_a 4.449
_cell_length_b 6.174
_cell_length_c 9.635
_cell_angle_alpha 108.69
_cell_angle_beta 90.00
_cell_angle_gamma 90.00
_symmetry_space_group_name_H-M 'P 1'
_symmetry_Int_Tables_number 1
_symmetry_space_group_name_Hall 'P 1'
loop_
_atom_site_label
_atom_site_type_symbol
_atom_site_fract_x
_atom_site_fract_y
_atom_site_fract_z
_atom_site_occupancy
Li1 Li 0.000 0.667 0.834 1
Li2 Li 0.000 0.333 0.166 1
Li3 Li 0.000 0.833 0.166 1
Li4 Li 0.500 0.500 0.000 1
Li5 Li 0.500 0.334 0.667 1
Li6 Li 0.000 0.167 0.834 1
Li7 Li 0.500 0.666 0.333 1
Mg1 Mg 0.500 0.000 0.000 1
Mg2 Mg 0.000 0.500 0.500 1
Mg3 Mg 0.500 0.833 0.666 1
Mg4 Mg 0.000 0.000 0.500 1
Mg5 Mg 0.500 0.167 0.334 1
# N(E_F) ... 4.31 states/eV per cell
# Total magnetic moment ... 0.00 μB per cell
# ρ ... 1.1 Mg/m³
# Space group ... No. 65
# Formation energy from the elements ... -34 meV per atom

---

# LiMg7 PBE-GGA optimized geometry
data_LiMg7
_chemical_formula_sum 'Li1 Mg7'
_cell_length_a 6.355
_cell_length_b 6.355
_cell_length_c 6.355
_cell_angle_alpha 60.00
_cell_angle_beta 60.00
_cell_angle_gamma 60.00
_symmetry_space_group_name_H-M 'P 1'
_symmetry_Int_Tables_number 1
_symmetry_space_group_name_Hall 'P 1'
loop_
_atom_site_label
_atom_site_type_symbol
_atom_site_fract_x
_atom_site_fract_y
_atom_site_fract_z
_atom_site_occupancy
Mg1 Mg 0.000 0.500 0.000 1
Mg2 Mg 0.500 0.500 0.000 1
Mg3 Mg 0.500 0.000 0.000 1
Mg4 Mg 0.000 0.500 0.500 1
Mg5 Mg 0.500 0.500 0.500 1
Mg6 Mg 0.500 0.000 0.500 1
Mg7 Mg 0.000 0.000 0.500 1
Li1 Li 0.000 0.000 0.000 1
# N(E_F) ... 2.04 states/eV per cell
# Total magnetic moment ... 0.00 μB per cell
# ρ ... 1.6 Mg/m³
# Space group ... No. 225
# Formation energy from the elements ... -12 meV per atom